Entry 1:
Compound: KYTc4
Source: Alexandria via LeMat-Bulk
Functional: PBE
Structure: relaxed

Results
mass density	7.6	g/cm3
space-group type	F-43m, No. 216
calculated formation energy	615	meV/atom

```
data_KYTc4
_symmetry_space_group_name_H-M 'P 1'
_symmetry_Int_Tables_number 1
_cell_length_a 5.4466
_cell_length_b 5.4466
_cell_length_c 5.4466
_cell_angle_alpha 60.00
_cell_angle_beta 60.00
_cell_angle_gamma 60.00
loop_
_symmetry_equiv_pos_as_xyz
'x,y,z'
loop_
_atom_site_label
_atom_site_fract_x
_atom_site_fract_y
_atom_site_fract_z
K1 0.0000 0.0000 0.0000
Y1 0.2500 0.2500 0.2500
Tc1 0.1253 0.6249 0.6249
Tc2 0.6249 0.1253 0.6249
Tc3 0.6249 0.6249 0.1253
Tc4 0.6249 0.6249 0.6249
```



Entry 2:
Compound: Cs4HgAuF
Source: Alexandria via LeMat-Bulk
Functional: PBE
Structure: relaxed

Results
energy relative to the elements, uncorrected	-0.865	eV/atom
mass density	4.2	g/cm3
space-group type	P2_1/m, No. 11

```
data_Cs4HgAuF
_symmetry_space_group_name_H-M 'P 1'
_symmetry_Int_Tables_number 1
_cell_length_a 8.5390
_cell_length_b 8.7435
_cell_length_c 10.6857
_cell_angle_alpha 90.00
_cell_angle_beta 109.80
_cell_angle_gamma 90.00
loop_
_symmetry_equiv_pos_as_xyz
'x,y,z'
loop_
_atom_site_label
_atom_site_fract_x
_atom_site_fract_y
_atom_site_fract_z
Cs1 0.0249 0.0102 0.2209
Cs2 0.0249 0.4898 0.2209
Cs3 0.4034 0.2500 0.5753
Cs4 0.4574 0.2500 0.1325
Cs5 0.5426 0.7500 0.8675
Cs6 0.5966 0.7500 0.4247
Cs7 0.9751 0.5102 0.7791
Cs8 0.9751 0.9898 0.7791
Hg1 0.1504 0.7500 0.5387
Hg2 0.8496 0.2500 0.4613
Au1 0.2488 0.7500 0.0637
Au2 0.7512 0.2500 0.9363
F1 0.2581 0.2500 0.2938
F2 0.7419 0.7500 0.7062
```



Entry 3:
Compound: Er2SiPRh6
Source: Alexandria via LeMat-Bulk
Functional: PBE
Structure: relaxed

Results
energy relative to the elements, uncorrected	-0.721	eV/atom
mass density	9.5	g/cm3
space-group type	Pmmn, No. 59

```
data_Er2SiPRh6
_symmetry_space_group_name_H-M 'P 1'
_symmetry_Int_Tables_number 1
_cell_length_a 5.7919
_cell_length_b 8.5707
_cell_length_c 7.1155
_cell_angle_alpha 90.00
_cell_angle_beta 90.00
_cell_angle_gamma 90.00
loop_
_symmetry_equiv_pos_as_xyz
'x,y,z'
loop_
_atom_site_label
_atom_site_fract_x
_atom_site_fract_y
_atom_site_fract_z
Er1 0.2500 0.0194 0.2326
Er2 0.2500 0.4806 0.2326
Er3 0.7500 0.5194 0.7674
Er4 0.7500 0.9806 0.7674
Si1 0.2500 0.7500 0.7800
Si2 0.7500 0.2500 0.2200
P1 0.2500 0.2500 0.7340
P2 0.7500 0.7500 0.2660
Rh1 0.0087 0.7500 0.0391
Rh2 0.0123 0.7500 0.4987
Rh3 0.2500 0.5011 0.6433
Rh4 0.2500 0.9989 0.6433
Rh5 0.4877 0.7500 0.4987
Rh6 0.4913 0.7500 0.0391
Rh7 0.5087 0.2500 0.9609
Rh8 0.5123 0.2500 0.5013
Rh9 0.7500 0.0011 0.3567
Rh10 0.7500 0.4989 0.3567
Rh11 0.9877 0.2500 0.5013
Rh12 0.9913 0.2500 0.9609
```



Entry 4:
Compound: TmGa2Pd
Source: Alexandria via LeMat-Bulk
Functional: PBE
Structure: relaxed

Results
mass density	9.3	g/cm3
space-group type	P4/mmm, No. 123
calculated formation energy	-607	meV/atom

```
data_TmGa2Pd
_symmetry_space_group_name_H-M 'P 1'
_symmetry_Int_Tables_number 1
_cell_length_a 4.0974
_cell_length_b 4.0974
_cell_length_c 4.4229
_cell_angle_alpha 90.00
_cell_angle_beta 90.00
_cell_angle_gamma 90.00
loop_
_symmetry_equiv_pos_as_xyz
'x,y,z'
loop_
_atom_site_label
_atom_site_fract_x
_atom_site_fract_y
_atom_site_fract_z
Tm1 0.0000 0.0000 0.0000
Ga1 0.0000 0.5000 0.5000
Ga2 0.5000 0.0000 0.5000
Pd1 0.5000 0.5000 0.0000
```



Entry 5:
Compound: ScMo2Br
Source: Alexandria via LeMat-Bulk
Functional: PBE
Structure: relaxed

Results
energy relative to the elements, uncorrected	0.009	eV/atom
mass density	6.5	g/cm3
space-group type	R3m, No. 160

```
data_ScMo2Br
_symmetry_space_group_name_H-M 'P 1'
_symmetry_Int_Tables_number 1
_cell_length_a 8.9435
_cell_length_b 8.9435
_cell_length_c 8.9435
_cell_angle_alpha 21.05
_cell_angle_beta 21.05
_cell_angle_gamma 21.05
loop_
_symmetry_equiv_pos_as_xyz
'x,y,z'
loop_
_atom_site_label
_atom_site_fract_x
_atom_site_fract_y
_atom_site_fract_z
Sc1 0.0000 0.0000 0.0000
Mo1 0.4829 0.4829 0.4829
Mo2 0.7534 0.7534 0.7534
Br1 0.2577 0.2577 0.2577
```



Entry 6:
Compound: Dy4ZrCd3
Source: Alexandria via LeMat-Bulk
Functional: PBE
Structure: relaxed

Results
mass density	8.5	g/cm3
space-group type	Pmmm, No. 47
calculated formation energy	-167	meV/atom

```
data_Dy4ZrCd3
_symmetry_space_group_name_H-M 'P 1'
_symmetry_Int_Tables_number 1
_cell_length_a 3.5188
_cell_length_b 5.3895
_cell_length_c 11.0909
_cell_angle_alpha 90.00
_cell_angle_beta 90.00
_cell_angle_gamma 90.00
loop_
_symmetry_equiv_pos_as_xyz
'x,y,z'
loop_
_atom_site_label
_atom_site_fract_x
_atom_site_fract_y
_atom_site_fract_z
Dy1 0.0000 0.0000 0.0000
Dy2 0.0000 0.0000 0.5000
Dy3 0.0000 0.5000 0.2483
Dy4 0.0000 0.5000 0.7517
Zr1 0.5000 0.5000 0.5000
Cd1 0.5000 0.0000 0.2522
Cd2 0.5000 0.0000 0.7478
Cd3 0.5000 0.5000 0.0000
```



Entry 7:
Compound: Bi2TeI
Source: Alexandria via LeMat-Bulk
Functional: PBE
Structure: relaxed

Results
energy relative to the elements, uncorrected	-0.248	eV/atom
mass density	6.9	g/cm3
space-group type	R-3m, No. 166

```
data_Bi2TeI
_symmetry_space_group_name_H-M 'P 1'
_symmetry_Int_Tables_number 1
_cell_length_a 19.0688
_cell_length_b 19.0688
_cell_length_c 19.0688
_cell_angle_alpha 13.40
_cell_angle_beta 13.40
_cell_angle_gamma 13.40
loop_
_symmetry_equiv_pos_as_xyz
'x,y,z'
loop_
_atom_site_label
_atom_site_fract_x
_atom_site_fract_y
_atom_site_fract_z
Bi1 0.0600 0.0600 0.0600
Bi2 0.1816 0.1816 0.1816
Bi3 0.8184 0.8184 0.8184
Bi4 0.9400 0.9400 0.9400
Te1 0.3030 0.3030 0.3030
Te2 0.6970 0.6970 0.6970
I1 0.4301 0.4301 0.4301
I2 0.5699 0.5699 0.5699
```



Entry 8:
Compound: SrAgPO2
Source: Alexandria via LeMat-Bulk
Functional: PBE
Structure: relaxed

Results
energy relative to the elements, uncorrected	0.236	eV/atom
mass density	3.2	g/cm3
space-group type	P4/mmm, No. 123

```
data_SrAgPO2
_symmetry_space_group_name_H-M 'P 1'
_symmetry_Int_Tables_number 1
_cell_length_a 4.4245
_cell_length_b 4.4245
_cell_length_c 6.8326
_cell_angle_alpha 90.00
_cell_angle_beta 90.00
_cell_angle_gamma 90.00
loop_
_symmetry_equiv_pos_as_xyz
'x,y,z'
loop_
_atom_site_label
_atom_site_fract_x
_atom_site_fract_y
_atom_site_fract_z
Sr1 0.0000 0.0000 0.0000
Ag1 0.5000 0.5000 0.5000
P1 0.0000 0.0000 0.5000
O1 0.0000 0.5000 0.0000
O2 0.5000 0.0000 0.0000
```



Entry 9:
Compound: GdTmIr
Source: Alexandria via LeMat-Bulk
Functional: PBE
Structure: relaxed

Results
mass density	11.3	g/cm3
space-group type	I4mm, No. 107
calculated formation energy	-584	meV/atom

```
data_GdTmIr
_symmetry_space_group_name_H-M 'P 1'
_symmetry_Int_Tables_number 1
_cell_length_a 6.7872
_cell_length_b 6.7872
_cell_length_c 6.7872
_cell_angle_alpha 150.44
_cell_angle_beta 150.44
_cell_angle_gamma 42.30
loop_
_symmetry_equiv_pos_as_xyz
'x,y,z'
loop_
_atom_site_label
_atom_site_fract_x
_atom_site_fract_y
_atom_site_fract_z
Gd1 0.0000 0.0000 0.0000
Tm1 0.7438 0.7438 0.0000
Ir1 0.3666 0.3666 0.0000
```



Entry 10:
Compound: CuHgAsSe2
Source: Alexandria via LeMat-Bulk
Functional: PBE
Structure: relaxed

Results
energy relative to the elements, uncorrected	0.499	eV/atom
mass density	7.2	g/cm3
space-group type	P4/mmm, No. 123

```
data_CuHgAsSe2
_symmetry_space_group_name_H-M 'P 1'
_symmetry_Int_Tables_number 1
_cell_length_a 4.9977
_cell_length_b 4.9977
_cell_length_c 4.5724
_cell_angle_alpha 90.00
_cell_angle_beta 90.00
_cell_angle_gamma 90.00
loop_
_symmetry_equiv_pos_as_xyz
'x,y,z'
loop_
_atom_site_label
_atom_site_fract_x
_atom_site_fract_y
_atom_site_fract_z
Cu1 0.0000 0.0000 0.0000
Hg1 0.5000 0.5000 0.5000
As1 0.0000 0.0000 0.5000
Se1 0.0000 0.5000 0.0000
Se2 0.5000 0.0000 0.0000
```



Entry 11:
Compound: PrCo12B4
Source: Alexandria via LeMat-Bulk
Functional: PBE
Structure: relaxed

Results
mass density	7.6	g/cm3
space-group type	Im-3, No. 204
calculated formation energy	147	meV/atom

```
data_PrCo12B4
_symmetry_space_group_name_H-M 'P 1'
_symmetry_Int_Tables_number 1
_cell_length_a 6.3278
_cell_length_b 6.3278
_cell_length_c 6.3278
_cell_angle_alpha 109.47
_cell_angle_beta 109.47
_cell_angle_gamma 109.47
loop_
_symmetry_equiv_pos_as_xyz
'x,y,z'
loop_
_atom_site_label
_atom_site_fract_x
_atom_site_fract_y
_atom_site_fract_z
Pr1 0.0000 0.0000 0.0000
Co1 0.1586 0.8126 0.3460
Co2 0.1874 0.3460 0.5334
Co3 0.1874 0.6540 0.8414
Co4 0.3460 0.1586 0.8126
Co5 0.3460 0.5334 0.1874
Co6 0.4666 0.8126 0.6540
Co7 0.5334 0.1874 0.3460
Co8 0.6540 0.4666 0.8126
Co9 0.6540 0.8414 0.1874
Co10 0.8126 0.3460 0.1586
Co11 0.8126 0.6540 0.4666
Co12 0.8414 0.1874 0.6540
B1 0.0000 0.0000 0.5000
B2 0.0000 0.5000 0.0000
B3 0.5000 0.0000 0.0000
B4 0.5000 0.5000 0.5000
```



Entry 12:
Compound: Mg3C
Source: Alexandria via LeMat-Bulk
Functional: PBE
Structure: relaxed

Results
mass density	2.0	g/cm3
space-group type	Pmmn, No. 59
calculated formation energy	457	meV/atom

```
data_Mg3C
_symmetry_space_group_name_H-M 'P 1'
_symmetry_Int_Tables_number 1
_cell_length_a 3.1555
_cell_length_b 5.6779
_cell_length_c 7.8231
_cell_angle_alpha 90.00
_cell_angle_beta 90.00
_cell_angle_gamma 90.00
loop_
_symmetry_equiv_pos_as_xyz
'x,y,z'
loop_
_atom_site_label
_atom_site_fract_x
_atom_site_fract_y
_atom_site_fract_z
Mg1 0.2500 0.0123 0.1885
Mg2 0.2500 0.2500 0.5203
Mg3 0.2500 0.4877 0.1885
Mg4 0.7500 0.5123 0.8115
Mg5 0.7500 0.7500 0.4797
Mg6 0.7500 0.9877 0.8115
C1 0.2500 0.7500 0.6817
C2 0.7500 0.2500 0.3183
```